Entry 1:
Crystalline PuTlAg4 at its relaxed geometry. Source: Alexandria, functional GGA-PBE.

Calculated values
DOS(E_F) = 15.94 states/eV/f.u.
Crystal system = cubic
Symmetry = F-43m, No. 216
E_tot = -28.084 eV/cell
M_tot = 5.54 μB/f.u.

Cell: 5.6734 5.6734 5.6734 Å, 60.00 60.00 60.00°
Positions (direct):
Pu 0.0000 0.0000 0.0000
Tl 0.7500 0.7500 0.7500
Ag 0.3751 0.3751 0.3751
Ag 0.3751 0.3751 0.8748
Ag 0.3751 0.8748 0.3751
Ag 0.8748 0.3751 0.3751

=====

Entry 2:
Crystalline Co3Cu2Ni8 at its relaxed geometry. Source: Alexandria, functional GGA-PBE.

Calculated values
DOS(E_F) = 19.08 states/eV/f.u.
Crystal system = monoclinic
Symmetry = C2/m, No. 12
E_tot = -72.851 eV/cell
M_tot = 9.93 μB/f.u.

Cell: 6.1173 6.1173 4.3243 Å, 106.26 106.26 84.61°
Positions (direct):
Co 0.0000 0.0000 0.0000
Co 0.2505 0.7495 0.5000
Co 0.7495 0.2505 0.5000
Cu 0.2935 0.2935 0.1345
Cu 0.7065 0.7065 0.8655
Ni 0.0821 0.5855 0.8290
Ni 0.1474 0.1474 0.5603
Ni 0.4145 0.9179 0.1710
Ni 0.4315 0.4315 0.7128
Ni 0.5685 0.5685 0.2872
Ni 0.5855 0.0821 0.8290
Ni 0.8526 0.8526 0.4397
Ni 0.9179 0.4145 0.1710

=====

Entry 3:
Crystalline ErIr2Pt at its relaxed geometry. Source: Alexandria, functional GGA-PBE.

Calculated values
DOS(E_F) = 4.36 states/eV/f.u.
Crystal system = tetragonal
Symmetry = P4/mmm, No. 123
E_tot = -30.878 eV/cell
M_tot = 0.00 μB/f.u.

Cell: 4.0533 4.0533 4.0554 Å, 90.00 90.00 90.00°
Positions (direct):
Er 0.0000 0.0000 0.0000
Ir 0.0000 0.5000 0.5000
Ir 0.5000 0.0000 0.5000
Pt 0.5000 0.5000 0.0000